(1)
Compound: Li2MgCu2Si4O12
Source: Alexandria
Functional: GGA-PBEsol
Structure: relaxed

Spin magnetization ... 0.095 μB/atom
Energy relative to the elements, uncorrected ... -47.92 eV/f.u.
SG ... P-1

a = 5.208 Å, b = 5.697 Å, c = 7.437 Å
α = 84.11°, β = 80.12°, γ = 82.58°
Last column: magnetic moment on the atom in μB.
Element x y z (fractional)
Si1 0.697 0.223 0.375  0.01
Si2 0.303 0.777 0.625  0.01
O1 0.080 0.584 0.689  0.01
O2 0.920 0.416 0.311  0.01
Cu1 0.492 0.839 0.182  0.63
O3 0.238 0.682 0.092  0.09
O4 0.733 0.799 0.949  0.07
O5 0.593 0.639 0.651  0.00
Si3 0.781 0.586 0.815  0.00
Li1 0.084 0.244 0.582  0.00
O6 0.267 0.201 0.051  0.07
Si4 0.219 0.414 0.185  0.00
Mg1 0.000 0.000 0.000  0.00
O7 0.271 0.866 0.417  0.07
Cu2 0.508 0.161 0.818  0.63
O8 0.769 0.998 0.249  0.07
Li2 0.916 0.756 0.418  0.00
O9 0.729 0.134 0.583  0.07
O10 0.231 0.002 0.751  0.07
O11 0.762 0.318 0.908  0.09
O12 0.407 0.361 0.349  0.00



(2)
Compound: Li2TaTl
Source: Alexandria
Functional: GGA-PBEsol
Structure: relaxed

Calculated formation energy ... 0.377 eV/atom
Spin magnetization ... 0.000 μB/atom
SG ... P4/mmm

a = 3.996 Å, b = 3.996 Å, c = 4.443 Å
α = 90.00°, β = 90.00°, γ = 90.00°
Element x y z (fractional)
Li1 0.000 0.500 0.000
Ta1 0.500 0.500 0.500
Li2 0.500 0.000 0.000
Tl1 0.000 0.000 0.500